Record 1
Below is a relaxed structure of TaSnMo2I, with properties calculated at the PBE level.

Output
- Total magnetic moment: 4.049 Bohr magnetons per cell

a b c (Å): 4.9943 4.9943 5.3776
angles (deg): 90.00 90.00 90.00
With the nearest neighbours (Å) after each atom.
Element x y z (fractional)
Ta1 0.0000 0.0000 0.0000  4 Mo 2.50, 2 I 2.69
Sn1 0.5000 0.5000 0.5000  4 I 3.53, 8 Mo 3.67
Mo1 0.0000 0.5000 0.0000  2 Ta 2.50
Mo2 0.5000 0.0000 0.0000  2 Ta 2.50
I1 0.0000 0.0000 0.5000  2 Ta 2.69

Record 2
Below is a relaxed structure of SrAg2Br6, with properties calculated at the PBE level.

Output
- Total magnetic moment: 0.651 Bohr magnetons per cell

a b c (Å): 7.6619 7.6619 8.6168
angles (deg): 103.26 103.26 40.35
With the nearest neighbours (Å) after each atom.
Element x y z (fractional)
Sr1 0.0000 0.0000 0.0000  6 Br 3.02-3.23
Ag1 0.2479 0.2479 0.6756  5 Br 2.61-2.75
Ag2 0.7521 0.7521 0.3244  5 Br 2.61-2.75
Br1 0.0581 0.0581 0.6857  1 Ag 2.75, 1 Sr 3.02
Br2 0.2343 0.2343 0.3552  3 Ag 2.67-2.72
Br3 0.3672 0.3672 0.9579  1 Ag 2.61
Br4 0.6328 0.6328 0.0421  1 Ag 2.61
Br5 0.7657 0.7657 0.6448  3 Ag 2.67-2.72
Br6 0.9419 0.9419 0.3143  1 Ag 2.75, 1 Sr 3.02

Number 1: ρ 7656 kg/m³, E_form (uncorrected) 8.3 eV per formula unit. Number 2: ρ 4093 kg/m³, E_form (uncorrected) -6.8 eV per formula unit.